a) This record from the Alexandria database describes a geometry-optimized PrHo7Er4 structure. The functional is GGA-PBE.

Output
Its volume is 388.76 Å³ per cell. The density of states at the Fermi level comes out at 20.49 states/eV per cell.

Cell and atoms, written as POSCAR:
```
PrHo7Er4
1.0
5.840 0.000 0.000
2.920 11.072 -0.247
2.920 0.209 6.008
Pr Ho Er
1 7 4
Direct
0.000 0.000 0.000 Pr
0.789 0.922 0.500 Ho
0.211 0.078 0.500 Ho
0.058 0.668 0.217 Ho
0.942 0.332 0.783 Ho
0.365 0.505 0.765 Ho
0.500 0.000 0.000 Ho
0.635 0.495 0.235 Ho
0.631 0.226 0.513 Er
0.369 0.774 0.487 Er
0.748 0.685 0.820 Er
0.252 0.315 0.180 Er
```


b) This record from the Alexandria database describes a geometry-optimized PrHo7Er4 structure. The functional is GGA-PBE.

Output
Its volume is 374.97 Å³ per cell. The density of states at the Fermi level comes out at 16.24 states/eV per cell.

Cell and atoms, written as POSCAR:
```
PrHo7Er4
1.0
6.833 1.854 0.844
5.082 7.563 2.394
-0.970 -0.417 8.711
Pr Ho Er
1 7 4
Direct
0.000 0.000 0.000 Pr
0.751 0.500 0.000 Ho
0.249 0.500 0.000 Ho
0.973 0.279 0.664 Ho
0.027 0.721 0.336 Ho
0.223 0.778 0.665 Ho
0.500 0.000 0.000 Ho
0.777 0.222 0.335 Ho
0.530 0.721 0.336 Er
0.470 0.279 0.664 Er
0.721 0.779 0.665 Er
0.279 0.221 0.335 Er
```


Top of the stability list: b), leading by 282 meV per atom.


a) This record from the Alexandria database describes a geometry-optimized PrHoEr structure. The functional is GGA-PBE.

Output
Its volume is 97.70 Å³ per cell. The density of states at the Fermi level comes out at 4.22 states/eV per cell.

Cell and atoms, written as POSCAR:
```
PrHoEr
1.0
-0.749 -3.499 -0.260
0.181 -0.304 3.570
-7.132 3.450 -1.148
Pr Ho Er
1 1 1
Direct
0.000 0.000 0.000 Pr
0.669 0.669 0.339 Ho
0.331 0.331 0.662 Er
```


b) This record from the Alexandria database describes a geometry-optimized PrHoEr structure. The functional is GGA-PBE.

Output
Its volume is 195.81 Å³ per cell. The density of states at the Fermi level comes out at 9.71 states/eV per cell.

Cell and atoms, written as POSCAR:
```
PrHoEr
1.0
3.543 0.000 -0.049
0.000 5.435 -0.009
-1.627 0.018 10.193
Pr Ho Er
2 2 2
Direct
0.206 0.250 0.911 Pr
0.794 0.750 0.089 Pr
0.388 0.250 0.275 Ho
0.612 0.750 0.725 Ho
0.040 0.250 0.581 Er
0.960 0.750 0.419 Er
```


Top of the stability list: a), leading by 10 meV per atom.